(1)
Below is DyPtRhAu after structural relaxation, with properties calculated at the PBE-GGA level.

Structure (CIF):
```
data_DyPtRhAu
_chemical_formula_sum 'Dy4 Pt4 Rh4 Au4'
_cell_length_a 6.640
_cell_length_b 6.640
_cell_length_c 6.640
_cell_angle_alpha 90.00
_cell_angle_beta 90.00
_cell_angle_gamma 90.00
_space_group_name_H-M_alt 'F -4 3 m'
_space_group_IT_number 216
_space_group_name_Hall 'F -4 2 3'
loop_
_atom_site_label
_atom_site_fract_x
_atom_site_fract_y
_atom_site_fract_z
Dy1 0.000 0.000 0.000
Pt1 0.250 0.250 0.750
Rh1 0.250 0.250 0.250
Au1 0.000 0.000 0.500
```

Computed properties:
- M_tot: 0.0000 μB/atom
- Crystal system: cubic
- Energy relative to the elements: -612 meV per atom
- E above lowest polymorph: 0.706 eV per formula unit
- Uncorrected energy: -5.9304 eV/atom


(2)
Below is Dy4PtAuS2 after structural relaxation, with properties calculated at the PBE-GGA level.

Structure (CIF):
```
data_Dy4PtAuS2
_chemical_formula_sum 'Dy4 Pt1 Au1 S2'
_cell_length_a 6.809
_cell_length_b 3.912
_cell_length_c 7.394
_cell_angle_alpha 90.00
_cell_angle_beta 107.74
_cell_angle_gamma 90.00
_space_group_name_H-M_alt 'P 1 2/m 1'
_space_group_IT_number 10
loop_
_space_group_symop_operation_xyz
'x,y,z'
'-x,-y,-z'
'-x,y,-z'
'x,-y,z'
loop_
_atom_site_label
_atom_site_fract_x
_atom_site_fract_y
_atom_site_fract_z
Dy1 0.241 0.000 0.244
Dy2 0.244 0.500 0.750
Pt1 0.000 0.000 0.500
Au1 0.500 0.500 0.500
S1 0.000 0.500 0.000
S2 0.500 0.000 0.000
```

Computed properties:
- Formation energy (no corrections): -1.4478 eV per atom
- M_tot: 0.0000 μB/atom
- Crystal system: monoclinic
- Uncorrected energy: -5.9455 eV/atom


(3)
Below is DyScPtAu after structural relaxation, with properties calculated at the PBE-GGA level.

Structure (CIF):
```
data_DyScPtAu
_chemical_formula_sum 'Dy2 Sc2 Pt2 Au2'
_cell_length_a 4.488
_cell_length_b 3.632
_cell_length_c 10.512
_cell_angle_alpha 90.00
_cell_angle_beta 90.00
_cell_angle_gamma 90.00
_space_group_name_H-M_alt 'A m m 2'
_space_group_IT_number 38
loop_
_space_group_symop_operation_xyz
'x,y,z'
'-x,-y,z'
'-x,y,z'
'x,-y,z'
'x,y+1/2,z+1/2'
'-x,-y+1/2,z+1/2'
'-x,y+1/2,z+1/2'
'x,-y+1/2,z+1/2'
loop_
_atom_site_label
_atom_site_fract_x
_atom_site_fract_y
_atom_site_fract_z
Dy1 0.000 0.000 0.000
Sc1 0.500 0.000 0.722
Pt1 0.500 0.000 0.451
Au1 0.000 0.000 0.272
```

Computed properties:
- M_tot: 0.0000 μB/atom
- Crystal system: orthorhombic
- Energy relative to the elements: -1031 meV per atom
- E above lowest polymorph: 0.000 eV per formula unit
- Uncorrected energy: -6.0943 eV/atom


(4)
Below is DyScPtAu after structural relaxation, with properties calculated at the PBE-GGA level.

Structure (CIF):
```
data_DyScPtAu
_chemical_formula_sum 'Dy4 Sc4 Pt4 Au4'
_cell_length_a 6.910
_cell_length_b 6.910
_cell_length_c 6.910
_cell_angle_alpha 90.00
_cell_angle_beta 90.00
_cell_angle_gamma 90.00
_space_group_name_H-M_alt 'F -4 3 m'
_space_group_IT_number 216
_space_group_name_Hall 'F -4 2 3'
loop_
_atom_site_label
_atom_site_fract_x
_atom_site_fract_y
_atom_site_fract_z
Dy1 0.000 0.000 0.000
Sc1 0.000 0.000 0.500
Pt1 0.250 0.250 0.250
Au1 0.250 0.250 0.750
```

Computed properties:
- M_tot: 0.0000 μB/atom
- Crystal system: cubic
- Energy relative to the elements: -996 meV per atom
- E above lowest polymorph: 0.140 eV per formula unit
- Uncorrected energy: -6.0593 eV/atom


(5)
Below is Dy4PtAuSe2 after structural relaxation, with properties calculated at the PBE-GGA level.

Structure (CIF):
```
data_Dy4PtAuSe2
_chemical_formula_sum 'Dy4 Pt1 Au1 Se2'
_cell_length_a 6.960
_cell_length_b 4.001
_cell_length_c 7.539
_cell_angle_alpha 90.00
_cell_angle_beta 107.77
_cell_angle_gamma 90.00
_space_group_name_H-M_alt 'P 1 2/m 1'
_space_group_IT_number 10
loop_
_space_group_symop_operation_xyz
'x,y,z'
'-x,-y,-z'
'-x,y,-z'
'x,-y,z'
loop_
_atom_site_label
_atom_site_fract_x
_atom_site_fract_y
_atom_site_fract_z
Dy1 0.239 0.000 0.237
Dy2 0.244 0.500 0.757
Pt1 0.000 0.500 0.000
Au1 0.500 0.000 0.000
Se1 0.000 0.000 0.500
Se2 0.500 0.500 0.500
```

Computed properties:
- Formation energy (no corrections): -1.3718 eV per atom
- M_tot: 0.0000 μB/atom
- Crystal system: monoclinic
- Uncorrected energy: -5.7088 eV/atom


(6)
Below is DySi2Pt7Au after structural relaxation, with properties calculated at the PBE-GGA level.

Structure (CIF):
```
data_DySi2Pt7Au
_chemical_formula_sum 'Dy2 Si4 Pt14 Au2'
_cell_length_a 4.038
_cell_length_b 4.038
_cell_length_c 29.234
_cell_angle_alpha 90.00
_cell_angle_beta 90.00
_cell_angle_gamma 90.00
_space_group_name_H-M_alt 'I -4 m 2'
_space_group_IT_number 119
_space_group_name_Hall 'I -4 -2'
loop_
_atom_site_label
_atom_site_fract_x
_atom_site_fract_y
_atom_site_fract_z
Dy1 0.000 0.000 0.000
Si1 0.000 0.000 0.381
Pt1 0.000 0.000 0.306
Pt2 0.000 0.000 0.500
Pt3 0.000 0.500 0.075
Pt4 0.000 0.500 0.574
Au1 0.000 0.500 0.250
```

Computed properties:
- Formation energy (no corrections): -0.3227 eV per atom
- M_tot: 0.0000 μB/atom
- Crystal system: tetragonal
- Uncorrected energy: -5.8691 eV/atom


(7)
Below is Dy2Si4Pt3Au after structural relaxation, with properties calculated at the PBE-GGA level.

Structure (CIF):
```
data_Dy2Si4Pt3Au
_chemical_formula_sum 'Dy2 Si4 Pt3 Au1'
_cell_length_a 4.227
_cell_length_b 4.227
_cell_length_c 9.899
_cell_angle_alpha 90.00
_cell_angle_beta 90.00
_cell_angle_gamma 90.00
_space_group_name_H-M_alt 'P -4 m 2'
_space_group_IT_number 115
loop_
_space_group_symop_operation_xyz
'x,y,z'
'y,-x,-z'
'-x,-y,z'
'-y,x,-z'
'-x,y,z'
'-y,-x,-z'
'x,-y,z'
'y,x,-z'
loop_
_atom_site_label
_atom_site_fract_x
_atom_site_fract_y
_atom_site_fract_z
Dy1 0.000 0.500 0.245
Si1 0.000 0.000 0.000
Si2 0.000 0.500 0.640
Si3 0.500 0.500 0.000
Pt1 0.000 0.500 0.880
Pt2 0.500 0.500 0.500
Au1 0.000 0.000 0.500
```

Computed properties:
- Formation energy (no corrections): -0.9759 eV per atom
- M_tot: 0.0000 μB/atom
- Crystal system: tetragonal
- Uncorrected energy: -6.2055 eV/atom


(8)
Below is Dy2Si3Pt4Au after structural relaxation, with properties calculated at the PBE-GGA level.

Structure (CIF):
```
data_Dy2Si3Pt4Au
_chemical_formula_sum 'Dy2 Si3 Pt4 Au1'
_cell_length_a 4.036
_cell_length_b 4.036
_cell_length_c 11.105
_cell_angle_alpha 90.00
_cell_angle_beta 90.00
_cell_angle_gamma 90.00
_space_group_name_H-M_alt 'P -4 m 2'
_space_group_IT_number 115
loop_
_space_group_symop_operation_xyz
'x,y,z'
'y,-x,-z'
'-x,-y,z'
'-y,x,-z'
'-x,y,z'
'-y,-x,-z'
'x,-y,z'
'y,x,-z'
loop_
_atom_site_label
_atom_site_fract_x
_atom_site_fract_y
_atom_site_fract_z
Dy1 0.000 0.500 0.250
Si1 0.000 0.000 0.000
Si2 0.000 0.500 0.627
Pt1 0.000 0.000 0.500
Pt2 0.000 0.500 0.835
Pt3 0.500 0.500 0.500
Au1 0.500 0.500 0.000
```

Computed properties:
- Formation energy (no corrections): -0.9410 eV per atom
- M_tot: 0.0000 μB/atom
- Crystal system: tetragonal
- Uncorrected energy: -6.2324 eV/atom


(9)
Below is DySnPtAu after structural relaxation, with properties calculated at the PBE-GGA level.

Structure (CIF):
```
data_DySnPtAu
_chemical_formula_sum 'Dy4 Sn4 Pt4 Au4'
_cell_length_a 6.930
_cell_length_b 6.930
_cell_length_c 6.930
_cell_angle_alpha 90.00
_cell_angle_beta 90.00
_cell_angle_gamma 90.00
_space_group_name_H-M_alt 'F -4 3 m'
_space_group_IT_number 216
_space_group_name_Hall 'F -4 2 3'
loop_
_atom_site_label
_atom_site_fract_x
_atom_site_fract_y
_atom_site_fract_z
Dy1 0.000 0.000 0.000
Sn1 0.000 0.000 0.500
Pt1 0.250 0.250 0.250
Au1 0.250 0.250 0.750
```

Computed properties:
- M_tot: 0.0000 μB/atom
- Crystal system: cubic
- Energy relative to the elements: -791 meV per atom
- Uncorrected energy: -5.2723 eV/atom


(10)
Below is SrDyPtAu after structural relaxation, with properties calculated at the PBE-GGA level.

Structure (CIF):
```
data_SrDyPtAu
_chemical_formula_sum 'Sr4 Dy4 Pt4 Au4'
_cell_length_a 7.269
_cell_length_b 7.269
_cell_length_c 7.269
_cell_angle_alpha 90.00
_cell_angle_beta 90.00
_cell_angle_gamma 90.00
_space_group_name_H-M_alt 'F -4 3 m'
_space_group_IT_number 216
_space_group_name_Hall 'F -4 2 3'
loop_
_atom_site_label
_atom_site_fract_x
_atom_site_fract_y
_atom_site_fract_z
Sr1 0.000 0.000 0.000
Dy1 0.000 0.000 0.500
Pt1 0.250 0.250 0.750
Au1 0.250 0.250 0.250
```

Computed properties:
- M_tot: 0.0000 μB/atom
- Crystal system: cubic
- Energy relative to the elements: -812 meV per atom
- Uncorrected energy: -4.7122 eV/atom


> Which formula does entry 1 have?

DyPtRhAu